Entry 1:
YHoS2F2: relaxed, PBE-GGA.

Computed properties:
Total energy, eV per atom: -6.831

a = 3.7429 Å, b = 3.7429 Å, c = 6.7877 Å
α = 90.00°, β = 90.00°, γ = 90.00°
Closest atoms and distances in Å follow each position.
Atoms (fractional coordinates):
Y  0.0000  0.0000  0.0000  4 F 2.44
Ho  0.5000  0.5000  0.5425  4 F 2.42
S  0.0000  0.0000  0.4143  4 Ho 2.79, 1 Y 2.81, 4 F 3.05
S  0.5000  0.5000  0.1299  4 Y 2.79, 1 Ho 2.80, 4 F 3.09
F  0.0000  0.5000  0.7682  2 Ho 2.42, 2 Y 2.44, 4 F 2.65
F  0.5000  0.0000  0.7682  2 Ho 2.42, 2 Y 2.44, 4 F 2.65


Entry 2:
YHoSbF2: relaxed, PBE-GGA.

Computed properties:
Total energy, eV per atom: -6.221

a = 4.0315 Å, b = 4.0315 Å, c = 7.0072 Å
α = 90.00°, β = 90.00°, γ = 120.00°
Closest atoms and distances in Å follow each position.
Atoms (fractional coordinates):
Y  0.0000  0.0000  0.0000  4 F 2.36-2.51
Ho  0.3333  0.6667  0.5371  4 F 2.30-2.49
Sb  0.6667  0.3333  0.2689  3 Ho 2.99, 3 Y 2.99
F  0.0000  0.0000  0.6634  1 Y 2.36, 3 Ho 2.49
F  0.3333  0.6667  0.8650  1 Ho 2.30, 3 Y 2.51


Entry 3:
Ho2TlF7: relaxed, PBE-GGA.

Computed properties:
Total energy, eV per atom: -6.139

a = 6.4672 Å, b = 6.4672 Å, c = 4.2711 Å
α = 90.00°, β = 90.00°, γ = 116.01°
Closest atoms and distances in Å follow each position.
Atoms (fractional coordinates):
Ho  0.1940  0.8060  0.0000  7 F 2.13-2.23
Ho  0.8060  0.1940  0.0000  7 F 2.13-2.23
Tl  0.5000  0.5000  0.5000  10 F 2.93-3.23
F  0.0000  0.0000  0.0000  2 Ho 2.13
F  0.1713  0.4517  0.0000  2 Ho 2.21-2.23
F  0.2057  0.7943  0.5000  2 Ho 2.14
F  0.4517  0.1713  0.0000  2 Ho 2.21-2.23
F  0.5483  0.8287  0.0000  2 Ho 2.21-2.23
F  0.7943  0.2057  0.5000  2 Ho 2.14
F  0.8287  0.5483  0.0000  2 Ho 2.21-2.23


Entry 4:
K3IrIF6: relaxed, PBE-GGA.

Computed properties:
Total energy, eV per atom: -4.175

a = 8.0477 Å, b = 8.0477 Å, c = 6.0058 Å
α = 90.00°, β = 90.00°, γ = 90.00°
Closest atoms and distances in Å follow each position.
Atoms (fractional coordinates):
K  0.0000  0.0000  0.0000  4 F 2.98, 2 I 3.00
K  0.1532  0.3468  0.5000  8 F 2.70-3.03
K  0.3468  0.8468  0.5000  8 F 2.70-3.03
K  0.5000  0.5000  0.0000  4 F 2.98, 2 I 3.00
K  0.6532  0.1532  0.5000  8 F 2.70-3.03
K  0.8468  0.6532  0.5000  8 F 2.70-3.03
Ir  0.0000  0.5000  0.0000  6 F 1.96-1.98
Ir  0.5000  0.0000  0.0000  6 F 1.96-1.98
I  0.0000  0.0000  0.5000  6 K 3.00-3.05
I  0.5000  0.5000  0.5000  6 K 3.00-3.05
F  0.1189  0.6189  0.2397  1 Ir 1.98
F  0.1189  0.6189  0.7603  1 Ir 1.98
F  0.1718  0.3282  0.0000  1 Ir 1.96
F  0.3282  0.8282  0.0000  1 Ir 1.96
F  0.3811  0.1189  0.2397  1 Ir 1.98
F  0.3811  0.1189  0.7603  1 Ir 1.98
F  0.6189  0.8811  0.2397  1 Ir 1.98
F  0.6189  0.8811  0.7603  1 Ir 1.98
F  0.6718  0.1718  0.0000  1 Ir 1.96
F  0.8282  0.6718  0.0000  1 Ir 1.96
F  0.8811  0.3811  0.2397  1 Ir 1.98
F  0.8811  0.3811  0.7603  1 Ir 1.98


Entry 5:
K3NbIF6: relaxed, PBE-GGA.

Computed properties:
Total energy, eV per atom: -4.922

a = 8.1314 Å, b = 8.1314 Å, c = 6.1353 Å
α = 90.00°, β = 90.00°, γ = 90.00°
Closest atoms and distances in Å follow each position.
Atoms (fractional coordinates):
K  0.0000  0.0000  0.0000  4 F 3.01, 2 I 3.07
K  0.1570  0.3430  0.5000  6 F 2.74-3.03, 2 I 3.07
K  0.3430  0.8430  0.5000  6 F 2.74-3.03, 2 I 3.07
K  0.5000  0.5000  0.0000  4 F 3.01, 2 I 3.07
K  0.6570  0.1570  0.5000  6 F 2.74-3.03, 2 I 3.07
K  0.8430  0.6570  0.5000  6 F 2.74-3.03, 2 I 3.07
Nb  0.0000  0.5000  0.0000  6 F 1.99-2.02
Nb  0.5000  0.0000  0.0000  6 F 1.99-2.02
I  0.0000  0.0000  0.5000  6 K 3.07
I  0.5000  0.5000  0.5000  6 K 3.07
F  0.1169  0.6169  0.2454  1 Nb 2.02
F  0.1169  0.6169  0.7546  1 Nb 2.02
F  0.1729  0.3271  0.0000  1 Nb 1.99
F  0.3271  0.8271  0.0000  1 Nb 1.99
F  0.3831  0.1169  0.2454  1 Nb 2.02
F  0.3831  0.1169  0.7546  1 Nb 2.02
F  0.6169  0.8831  0.2454  1 Nb 2.02
F  0.6169  0.8831  0.7546  1 Nb 2.02
F  0.6729  0.1729  0.0000  1 Nb 1.99
F  0.8271  0.6729  0.0000  1 Nb 1.99
F  0.8831  0.3831  0.2454  1 Nb 2.02
F  0.8831  0.3831  0.7546  1 Nb 2.02


Entry 6:
K3PdIF6: relaxed, PBE-GGA.

Computed properties:
Total energy, eV per atom: -3.779

a = 8.0357 Å, b = 8.0357 Å, c = 5.9916 Å
α = 90.00°, β = 90.00°, γ = 90.00°
Closest atoms and distances in Å follow each position.
Atoms (fractional coordinates):
K  0.0000  0.0000  0.0000  4 F 2.98, 2 I 3.00
K  0.1511  0.3489  0.5000  6 F 2.70-3.00
K  0.3489  0.8489  0.5000  6 F 2.70-3.00
K  0.5000  0.5000  0.0000  4 F 2.98, 2 I 3.00
K  0.6511  0.1511  0.5000  6 F 2.70-3.00
K  0.8489  0.6511  0.5000  6 F 2.70-3.00
Pd  0.0000  0.5000  0.0000  6 F 1.94-1.96
Pd  0.5000  0.0000  0.0000  6 F 1.94-1.96
I  0.0000  0.0000  0.5000  6 K 3.00-3.06
I  0.5000  0.5000  0.5000  6 K 3.00-3.06
F  0.1189  0.6189  0.2362  1 Pd 1.96
F  0.1189  0.6189  0.7638  1 Pd 1.96
F  0.1711  0.3289  0.0000  1 Pd 1.94
F  0.3289  0.8289  0.0000  1 Pd 1.94
F  0.3811  0.1189  0.2362  1 Pd 1.96
F  0.3811  0.1189  0.7638  1 Pd 1.96
F  0.6189  0.8811  0.2362  1 Pd 1.96
F  0.6189  0.8811  0.7638  1 Pd 1.96
F  0.6711  0.1711  0.0000  1 Pd 1.94
F  0.8289  0.6711  0.0000  1 Pd 1.94
F  0.8811  0.3811  0.2362  1 Pd 1.96
F  0.8811  0.3811  0.7638  1 Pd 1.96